(1)
{
  "formula": "Ba2LaSe",
  "functional": "PBE-GGA",
  "state": "relaxed",
  "cell": [[3.9890, 0.0000, 0.0000], [0.0000, 3.9890, 0.0000], [0.0000, 0.0000, 10.4948]],
  "species": ["Ba", "Ba", "La", "Se"],
  "frac_coords": [[0.0000, 0.0000, 0.1847], [0.0000, 0.0000, 0.8153], [0.5000, 0.5000, 0.5000], [0.5000, 0.5000, 0.0000]],
  "sg": "P4/mmm (123)",
  "e_form_raw_ev_per_fu": -2.8
}

---

(2)
{
  "formula": "Ba2LaSe",
  "functional": "PBE-GGA",
  "state": "relaxed",
  "cell": [[4.1506, 0.0000, 0.0000], [0.0000, 4.1506, 0.0000], [0.0000, 0.0000, 10.1371]],
  "species": ["Ba", "Ba", "La", "Se"],
  "frac_coords": [[0.0000, 0.0000, 0.0000], [0.5000, 0.5000, 0.3458], [0.0000, 0.0000, 0.6281], [0.5000, 0.5000, 0.7154]],
  "sg": "P4mm (99)",
  "e_form_raw_ev_per_fu": -3.0
}

---

(3)
{
  "formula": "Ba2LaSe",
  "functional": "PBE-GGA",
  "state": "relaxed",
  "cell": [[5.1715, 0.0000, 0.0000], [0.0000, 2.3328, 6.7086], [0.0000, -2.3328, 6.7086]],
  "species": ["Ba", "Ba", "La", "Se"],
  "frac_coords": [[0.0000, 0.0000, 0.0000], [0.5000, 0.2997, 0.2997], [0.5000, 0.5979, 0.5979], [0.0000, 0.7119, 0.7119]],
  "sg": "Amm2 (38)",
  "e_form_raw_ev_per_fu": -2.7
}

---

(4)
{
  "formula": "Ba2LaSe",
  "functional": "PBE-GGA",
  "state": "relaxed",
  "cell": [[-2.4722, 2.4722, 5.9200], [2.4722, -2.4722, 5.9200], [2.4722, 2.4722, -5.9200]],
  "species": ["Ba", "Ba", "La", "Se"],
  "frac_coords": [[0.2500, 0.7500, 0.5000], [0.7500, 0.2500, 0.5000], [0.0000, 0.0000, 0.0000], [0.5000, 0.5000, 0.0000]],
  "sg": "I4/mmm (139)",
  "e_form_raw_ev_per_fu": -1.4
}

---

no.,E_tot (eV for the cell shown)
1,-15.069
2,-15.223
3,-15.002
4,-13.646